# 1
DFT (PBE-GGA) results for PuNbCu after structural relaxation.

Structure (CIF):
```
data_PuNbCu
_cell_length_a 2.669
_cell_length_b 4.254
_cell_length_c 8.661
_cell_angle_alpha 90.00
_cell_angle_beta 96.34
_cell_angle_gamma 90.00
_space_group_name_H-M_alt 'P 1 21/m 1'
_space_group_IT_number 11
_space_group_name_Hall '-P 2yb'
loop_
_atom_site_label
_atom_site_fract_x
_atom_site_fract_y
_atom_site_fract_z
Pu1 0.090 0.250 0.444
Nb1 0.234 0.750 0.903
Cu1 0.362 0.750 0.236
```

Computed properties:
As for the density of states at the Fermi level: 1.626 states/eV/atom. The total magnetization comes out at 0.000 μB/f.u. The calculation puts the energy at -9.28 eV per atom. Its energy relative to the lowest polymorph listed for this composition is 0.0489 eV/atom.

=====

# 2
DFT (PBE-GGA) results for PuNbCu after structural relaxation.

Structure (CIF):
```
data_PuNbCu
_cell_length_a 2.876
_cell_length_b 2.876
_cell_length_c 13.311
_cell_angle_alpha 90.00
_cell_angle_beta 90.00
_cell_angle_gamma 90.00
_space_group_name_H-M_alt 'I 4 m m'
_space_group_IT_number 107
_space_group_name_Hall 'I 4 -2'
loop_
_atom_site_label
_atom_site_fract_x
_atom_site_fract_y
_atom_site_fract_z
Pu1 0.000 0.000 0.000
Nb1 0.000 0.000 0.689
Cu1 0.000 0.000 0.330
```

Computed properties:
As for the density of states at the Fermi level: 1.626 states/eV/atom. The total magnetization comes out at 5.123 μB/f.u. The calculation puts the energy at -9.33 eV per atom. Its energy relative to the lowest polymorph listed for this composition is 0.0000 eV/atom.

=====

# 3
DFT (PBE-GGA) results for RbNb2Cu after structural relaxation.

Structure (CIF):
```
data_RbNb2Cu
_cell_length_a 6.725
_cell_length_b 6.725
_cell_length_c 6.725
_cell_angle_alpha 90.00
_cell_angle_beta 90.00
_cell_angle_gamma 90.00
_space_group_name_H-M_alt 'F m -3 m'
_space_group_IT_number 225
_space_group_name_Hall '-F 4 2 3'
loop_
_atom_site_label
_atom_site_fract_x
_atom_site_fract_y
_atom_site_fract_z
Rb1 0.000 0.000 0.000
Nb1 0.250 0.250 0.250
Cu1 0.000 0.000 0.500
```

Computed properties:
As for the density of states at the Fermi level: 0.985 states/eV/atom. The total magnetization comes out at 0.000 μB/f.u. The calculation puts the energy at -4.67 eV per atom. Its energy relative to the lowest polymorph listed for this composition is 0.2904 eV/atom.

=====

# 4
DFT (PBE-GGA) results for Rb2NbCu after structural relaxation.

Structure (CIF):
```
data_Rb2NbCu
_cell_length_a 8.537
_cell_length_b 8.537
_cell_length_c 8.537
_cell_angle_alpha 90.00
_cell_angle_beta 90.00
_cell_angle_gamma 90.00
_space_group_name_H-M_alt 'F m -3 m'
_space_group_IT_number 225
_space_group_name_Hall '-F 4 2 3'
loop_
_atom_site_label
_atom_site_fract_x
_atom_site_fract_y
_atom_site_fract_z
Rb1 0.250 0.250 0.250
Nb1 0.000 0.000 0.000
Cu1 0.000 0.000 0.500
```

Computed properties:
As for the density of states at the Fermi level: 1.278 states/eV/atom. The total magnetization comes out at 5.460 μB/f.u. The calculation puts the energy at -2.53 eV per atom. Its energy relative to the lowest polymorph listed for this composition is 0.2913 eV/atom.

=====

# 5
DFT (PBE-GGA) results for Rb2NbCu after structural relaxation.

Structure (CIF):
```
data_Rb2NbCu
_cell_length_a 12.892
_cell_length_b 12.892
_cell_length_c 5.074
_cell_angle_alpha 90.00
_cell_angle_beta 90.00
_cell_angle_gamma 90.00
_space_group_name_H-M_alt 'I -4 2 d'
_space_group_IT_number 122
_space_group_name_Hall 'I -4 2bw'
loop_
_atom_site_label
_atom_site_fract_x
_atom_site_fract_y
_atom_site_fract_z
Rb1 0.081 0.250 0.125
Nb1 0.000 0.000 0.500
Cu1 0.000 0.000 0.000
```

Computed properties:
As for the density of states at the Fermi level: 1.098 states/eV/atom. The total magnetization comes out at 4.224 μB/f.u. The calculation puts the energy at -2.82 eV per atom. Its energy relative to the lowest polymorph listed for this composition is 0.0000 eV/atom.

=====

# 6
DFT (PBE-GGA) results for RbNb2Cu after structural relaxation.

Structure (CIF):
```
data_RbNb2Cu
_cell_length_a 4.006
_cell_length_b 4.006
_cell_length_c 22.191
_cell_angle_alpha 90.00
_cell_angle_beta 90.00
_cell_angle_gamma 90.00
_space_group_name_H-M_alt 'I -4 2 d'
_space_group_IT_number 122
_space_group_name_Hall 'I -4 2bw'
loop_
_atom_site_label
_atom_site_fract_x
_atom_site_fract_y
_atom_site_fract_z
Rb1 0.000 0.000 0.000
Nb1 0.214 0.250 0.625
Cu1 0.000 0.000 0.500
```

Computed properties:
As for the density of states at the Fermi level: 0.637 states/eV/atom. The total magnetization comes out at 0.000 μB/f.u. The calculation puts the energy at -4.96 eV per atom. Its energy relative to the lowest polymorph listed for this composition is 0.0000 eV/atom.

=====

# 7
DFT (PBE-GGA) results for RbNbCu3 after structural relaxation.

Structure (CIF):
```
data_RbNbCu3
_cell_length_a 5.033
_cell_length_b 5.033
_cell_length_c 5.033
_cell_angle_alpha 90.00
_cell_angle_beta 90.00
_cell_angle_gamma 90.00
_space_group_name_H-M_alt 'P m -3 m'
_space_group_IT_number 221
_space_group_name_Hall '-P 4 2 3'
loop_
_atom_site_label
_atom_site_fract_x
_atom_site_fract_y
_atom_site_fract_z
Rb1 0.000 0.000 0.000
Nb1 0.500 0.500 0.500
Cu1 0.000 0.500 0.500
```

Computed properties:
As for the density of states at the Fermi level: 0.897 states/eV/atom. The total magnetization comes out at 0.000 μB/f.u. The calculation puts the energy at -3.63 eV per atom. Its energy relative to the lowest polymorph listed for this composition is 0.0000 eV/atom.

=====

# 8
DFT (PBE-GGA) results for RbNbCu2 after structural relaxation.

Structure (CIF):
```
data_RbNbCu2
_cell_length_a 7.028
_cell_length_b 7.028
_cell_length_c 7.028
_cell_angle_alpha 90.00
_cell_angle_beta 90.00
_cell_angle_gamma 90.00
_space_group_name_H-M_alt 'F m -3 m'
_space_group_IT_number 225
_space_group_name_Hall '-F 4 2 3'
loop_
_atom_site_label
_atom_site_fract_x
_atom_site_fract_y
_atom_site_fract_z
Rb1 0.000 0.000 0.000
Nb1 0.000 0.000 0.500
Cu1 0.250 0.250 0.250
```

Computed properties:
As for the density of states at the Fermi level: 1.429 states/eV/atom. The total magnetization comes out at 3.085 μB/f.u. The calculation puts the energy at -3.52 eV per atom. Its energy relative to the lowest polymorph listed for this composition is 0.0918 eV/atom.

=====

Number 1: ΔH_f (0 K) 0.2213 eV/atom. Number 2: ΔH_f (0 K) 0.1725 eV/atom. Number 3: ΔH_f (0 K) 1.6358 eV/atom. Number 4: ΔH_f (0 K) 1.4976 eV/atom. Number 5: ΔH_f (0 K) 1.2064 eV/atom. Number 6: ΔH_f (0 K) 1.3454 eV/atom. Number 7: ΔH_f (0 K) 1.0309 eV/atom. Number 8: ΔH_f (0 K) 1.2873 eV/atom.